1.
An optimized crystal structure of La3ErH8, computed with GGA-PBE.

Cell: 5.497 5.497 5.497 Å, 90.00 90.00 90.00°
Space group Pm-3m (No. 221)
Inequivalent atoms, fractional coordinates:
1 La 0.000 0.000 0.500 [3 per cell]
2 Er 0.500 0.500 0.500 [1 per cell]
3 H 0.264 0.264 0.264 [8 per cell]

Values from the calculation:
- Total energy: -4.512 eV per atom

2.
An optimized crystal structure of Ru3Au5, computed with GGA-PBE.

Cell: 4.131 12.325 11.104 Å, 90.00 90.08 90.00°
Space group C2/m (No. 12)
Inequivalent atoms, fractional coordinates:
1 Ru 0.000 0.182 0.000 [4 per cell]
2 Ru 0.000 0.308 0.500 [4 per cell]
3 Ru 0.001 0.000 0.113 [4 per cell]
4 Au 0.000 0.359 0.156 [8 per cell]
5 Au 0.001 0.153 0.326 [8 per cell]
6 Au 0.001 0.500 0.370 [4 per cell]

Values from the calculation:
- Excess energy over the best structure of this formula in the dataset: 0.000 eV per atom
- Formation energy from the elements: 317.4 kJ/mol of formula units